ZrTc2P: relaxed, PBE.

Unit cell a=4.713 b=4.713 c=5.168 alpha=117.07 beta=117.07 gamma=40.11
Element x y z (fractional)
Zr  0.000  0.000  0.000
Tc  0.194  0.194  0.725
Tc  0.411  0.411  0.376
P  0.720  0.720  0.422

Values from the calculation:
- Calculated total energy: -36.296 eV for the cell shown
- Energy relative to the elements: -0.401 eV/atom
- Crystal system: monoclinic